Entry from Alexandria via LeMat-Bulk: an optimized crystal structure of Pm6ZnCo2 (PBE).

Cell: 10.000 5.187 8.922 Å, 90.00 100.38 90.00°
Space group C2/m (No. 12)
Unique sites:
Pm  0.038  0.000  0.341
Pm  0.158  0.500  0.888
Pm  0.211  0.500  0.338
Zn  0.000  0.000  0.000
Co  0.109  0.500  0.592

Properties
- energy above the most stable polymorph in this dataset (eV per atom) = 0.095
- calculated volume (A^3/atom) = 25.29
- total energy (eV/atom) = -4.93
- energy relative to the elements (eV per atom) = -0.044